# 1
This record from the Alexandria database describes a geometry-optimized MnAlTc2 structure. The functional is PBE.

a = 4.170 Å, b = 2.713 Å, c = 5.011 Å
α = 75.68°, β = 90.00°, γ = 90.00°
Last column: magnetic moment on the atom in μB.
Sites, in units of the cell vectors:
Tc  0.500  0.227  0.253  -0.23
Tc  0.000  0.944  0.000  -0.17
Mn  0.500  0.808  0.733  1.45
Al  0.000  0.521  0.514  -0.02

## Properties
- SG: No. 6
- Crystal system: monoclinic
- M_tot: 1.0 μB/f.u.
- Energy of formation: -0.0857 eV/atom
- Uncorrected energy: -0.3123 Ha/atom

***

# 2
This record from the Alexandria database describes a geometry-optimized Li2HI structure. The functional is PBE.

a = 3.838 Å, b = 3.838 Å, c = 6.243 Å
α = 72.10°, β = 72.10°, γ = 60.00°
Sites, in units of the cell vectors:
I  0.500  0.500  0.500
H  0.000  0.000  0.000
Li  0.269  0.269  0.192
Li  0.731  0.731  0.808

## Properties
- SG: No. 166
- Crystal system: trigonal
- M_tot: 0.0 μB/f.u.
- Uncorrected energy: -0.1011 Ha/atom

***

# 3
This record from the Alexandria database describes a geometry-optimized AgSn2CS structure. The functional is PBE.

a = 5.468 Å, b = 4.574 Å, c = 5.468 Å
α = 90.00°, β = 90.00°, γ = 90.00°
Last column: magnetic moment on the atom in μB.
Sites, in units of the cell vectors:
S  0.000  0.000  0.000  0.01
Sn  0.000  0.000  0.500  -0.04
Sn  0.500  0.000  0.000  -0.07
Ag  0.000  0.500  0.000  0.01
C  0.500  0.500  0.500  0.65

## Properties
- SG: No. 123
- Crystal system: tetragonal
- M_tot: 1.1 μB/f.u.
- Uncorrected energy: -0.1220 Ha/atom

***

# 4
This record from the Alexandria database describes a geometry-optimized La2ZnAs structure. The functional is PBE.

a = 4.305 Å, b = 4.305 Å, c = 7.997 Å
α = 74.40°, β = 74.40°, γ = 60.00°
Sites, in units of the cell vectors:
Zn  0.250  0.250  0.250
As  0.750  0.750  0.750
La  0.008  0.008  0.976
La  0.492  0.492  0.524

## Properties
- SG: No. 166
- Crystal system: trigonal
- M_tot: 0.4 μB/f.u.
- Energy of formation: -0.8070 eV/atom
- Uncorrected energy: -0.1746 Ha/atom

***

# 5
This record from the Alexandria database describes a geometry-optimized ZnCo3Ru structure. The functional is PBE.

a = 4.447 Å, b = 4.447 Å, c = 4.447 Å
α = 90.00°, β = 90.00°, γ = 90.00°
Last column: magnetic moment on the atom in μB.
Sites, in units of the cell vectors:
Co  0.000  0.000  0.500  1.78
Co  0.500  0.000  0.000  0.86
Co  0.000  0.500  0.000  1.32
Ru  0.000  0.000  0.000  0.44
Zn  0.500  0.500  0.500  0.01

## Properties
- SG: No. 221
- Crystal system: cubic
- M_tot: 4.4 μB/f.u.
- Energy of formation: 1.4180 eV/atom
- Uncorrected energy: -0.1821 Ha/atom

***

# 6
This record from the Alexandria database describes a geometry-optimized LaAlPt2 structure. The functional is PBE.

a = 5.010 Å, b = 5.010 Å, c = 8.690 Å
α = 73.25°, β = 73.25°, γ = 90.00°
Sites, in units of the cell vectors:
La  0.750  0.250  0.500
La  0.000  0.000  0.000
Pt  0.375  0.513  0.750
Pt  0.875  0.737  0.750
Pt  0.487  0.125  0.250
Pt  0.263  0.625  0.250
Al  0.500  0.500  0.000
Al  0.250  0.750  0.500

## Properties
- SG: No. 122
- Crystal system: tetragonal
- M_tot: 0.0 μB/f.u.
- Energy of formation: -0.7317 eV/atom
- Uncorrected energy: -0.2175 Ha/atom